No. 1
TiTe3W: relaxed, GGA-PBE.

Calculated values
Formation energy from raw total energies (eV/atom): 1.001
Energy above the lowest structure with this stoichiometry (eV per atom): 0.1314
Crystal system: cubic

abc: 5.2640 5.2640 5.2640
angles: 90.00 90.00 90.00
Element x y z (fractional)
Te  0.0000  0.5000  0.0000
Te  0.0000  0.0000  0.5000
W  0.5000  0.5000  0.5000
Ti  0.0000  0.0000  0.0000
Te  0.5000  0.0000  0.0000

***

No. 2
TiTe2W: relaxed, GGA-PBE.

Calculated values
Formation energy from raw total energies (eV/atom): 0.615
Energy above the lowest structure with this stoichiometry (eV per atom): 0.4226
Crystal system: tetragonal

abc: 4.8180 4.8180 9.0933
angles: 74.64 74.64 90.00
Element x y z (fractional)
Ti  0.5000  0.5000  0.0000
W  0.0000  0.0000  0.0000
Te  0.8750  0.8850  0.7500
Te  0.6350  0.1250  0.2500
Te  0.1150  0.6250  0.2500
Te  0.3750  0.3650  0.7500
W  0.7500  0.2500  0.5000
Ti  0.2500  0.7500  0.5000

***

No. 3
TiTeW: relaxed, GGA-PBE.

Calculated values
Formation energy from raw total energies (eV/atom): 0.353
Crystal system: orthorhombic

abc: 3.3110 3.1647 12.6382
angles: 90.00 90.00 121.54
Element x y z (fractional)
W  0.8059  0.6119  0.3363
Te  0.1424  0.2848  0.8293
Te  0.1424  0.2848  0.1707
Ti  0.3022  0.6044  0.5000
W  0.8059  0.6119  0.6637
Ti  0.4677  0.9355  0.0000

***

No. 4
TiTeW2: relaxed, GGA-PBE.

Calculated values
Formation energy from raw total energies (eV/atom): 0.672
Crystal system: tetragonal

abc: 3.8461 3.8461 10.5839
angles: 79.53 79.53 90.00
Element x y z (fractional)
W  0.3750  0.3814  0.7500
Ti  0.2500  0.7500  0.5000
W  0.1314  0.6250  0.2500
W  0.8750  0.8686  0.7500
W  0.6186  0.1250  0.2500
Te  0.7500  0.2500  0.5000
Ti  0.5000  0.5000  0.0000
Te  0.0000  0.0000  0.0000

***

No. 5
ZrTiTeW2: relaxed, GGA-PBE.

Calculated values
Formation energy from raw total energies (eV/atom): 2.050
Crystal system: tetragonal

abc: 4.8525 5.2912 4.8525
angles: 90.00 90.00 90.00
Element x y z (fractional)
Te  0.0000  0.5000  0.0000
W  0.0000  0.0000  0.5000
W  0.5000  0.0000  0.0000
Ti  0.5000  0.5000  0.5000
Zr  0.0000  0.0000  0.0000

***

No. 6
Y2TiTe4: relaxed, GGA-PBE.

Calculated values
Formation energy from raw total energies (eV/atom): -0.755
Energy above the lowest structure with this stoichiometry (eV per atom): 0.3909
Crystal system: tetragonal

abc: 5.3273 5.3273 8.5758
angles: 71.90 71.90 90.00
Element x y z (fractional)
Y  0.3769  0.3769  0.2462
Ti  0.0000  0.0000  0.0000
Y  0.6231  0.6231  0.7538
Te  0.8159  0.8159  0.3683
Te  0.5000  0.0000  0.0000
Te  0.0000  0.5000  0.0000
Te  0.1841  0.1841  0.6317

***

No. 7
Y2TiTe4: relaxed, GGA-PBE.

Calculated values
Formation energy from raw total energies (eV/atom): -1.146
Energy above the lowest structure with this stoichiometry (eV per atom): 0.0000
Crystal system: monoclinic

abc: 4.2256 7.5340 8.0456
angles: 118.21 105.22 90.00
Element x y z (fractional)
Te  0.6187  0.2801  0.2374
Te  0.3813  0.7199  0.7626
Te  0.1093  0.7864  0.2185
Y  0.7432  0.7581  0.4863
Y  0.2568  0.2419  0.5137
Te  0.8907  0.2136  0.7815
Ti  0.0000  0.0000  0.0000

***

No. 8
Ti2ZnTe: relaxed, GGA-PBE.

Calculated values
Formation energy from raw total energies (eV/atom): -0.081
Energy above the lowest structure with this stoichiometry (eV per atom): 0.0000
Crystal system: cubic

abc: 4.6645 4.6645 4.6645
angles: 60.00 60.00 60.00
Element x y z (fractional)
Ti  0.7500  0.7500  0.7500
Te  0.5000  0.5000  0.5000
Zn  0.0000  0.0000  0.0000
Ti  0.2500  0.2500  0.2500

***

No. 9
Ti2ZnTe: relaxed, GGA-PBE.

Calculated values
Formation energy from raw total energies (eV/atom): 0.534
Energy above the lowest structure with this stoichiometry (eV per atom): 0.6149
Crystal system: tetragonal

abc: 5.6413 5.6413 7.7354
angles: 68.61 68.61 90.00
Element x y z (fractional)
Ti  0.8750  0.8290  0.7500
Ti  0.1710  0.6250  0.2500
Ti  0.3750  0.4210  0.7500
Te  0.0000  0.0000  0.0000
Zn  0.2500  0.7500  0.5000
Te  0.7500  0.2500  0.5000
Ti  0.5790  0.1250  0.2500
Zn  0.5000  0.5000  0.0000

***

No. 10
Ti3ZnTe: relaxed, GGA-PBE.

Calculated values
Formation energy from raw total energies (eV/atom): 0.782
Energy above the lowest structure with this stoichiometry (eV per atom): 0.3441
Crystal system: cubic

abc: 4.9803 4.9803 4.9803
angles: 90.00 90.00 90.00
Element x y z (fractional)
Ti  0.0000  0.0000  0.5000
Ti  0.5000  0.0000  0.0000
Te  0.0000  0.0000  0.0000
Zn  0.5000  0.5000  0.5000
Ti  0.0000  0.5000  0.0000

***

No. 11
Ti2Zn2Te: relaxed, GGA-PBE.

Calculated values
Formation energy from raw total energies (eV/atom): 0.263
Energy above the lowest structure with this stoichiometry (eV per atom): 0.3856
Crystal system: tetragonal

abc: 3.9260 3.9260 6.9497
angles: 73.59 73.59 90.00
Element x y z (fractional)
Zn  0.4006  0.4006  0.1988
Zn  0.5994  0.5994  0.8012
Ti  0.2500  0.7500  0.5000
Te  0.0000  0.0000  0.0000
Ti  0.7500  0.2500  0.5000

***

No. 12
Ti2Zn2Te: relaxed, GGA-PBE.

Calculated values
Formation energy from raw total energies (eV/atom): -0.122
Energy above the lowest structure with this stoichiometry (eV per atom): 0.0000
Crystal system: tetragonal

abc: 6.9025 6.9025 3.9772
angles: 90.00 90.00 90.00
Element x y z (fractional)
Ti  0.3504  0.8504  0.0000
Te  0.0000  0.0000  0.0000
Te  0.5000  0.5000  0.0000
Ti  0.1496  0.3504  0.0000
Ti  0.6496  0.1496  0.0000
Zn  0.8607  0.3607  0.5000
Zn  0.6393  0.8607  0.5000
Zn  0.1393  0.6393  0.5000
Zn  0.3607  0.1393  0.5000
Ti  0.8504  0.6496  0.0000

***

No. 13
TiZnTe2: relaxed, GGA-PBE.

Calculated values
Formation energy from raw total energies (eV/atom): -0.308
Crystal system: trigonal

abc: 9.4617 9.4617 9.4617
angles: 23.09 23.09 23.09
Element x y z (fractional)
Te  0.1053  0.1053  0.1053
Te  0.8947  0.8947  0.8947
Zn  0.0000  0.0000  0.0000
Ti  0.5000  0.5000  0.5000

***

No. 14
Ti2Zn2Te: relaxed, GGA-PBE.

Calculated values
Formation energy from raw total energies (eV/atom): 0.025
Energy above the lowest structure with this stoichiometry (eV per atom): 0.1472
Crystal system: tetragonal

abc: 6.9281 6.9281 3.7229
angles: 90.00 90.00 90.00
Element x y z (fractional)
Ti  0.8276  0.3276  0.5000
Ti  0.1724  0.6724  0.5000
Te  0.5000  0.5000  0.0000
Zn  0.8773  0.6227  0.0000
Zn  0.3773  0.8773  0.0000
Te  0.0000  0.0000  0.0000
Ti  0.3276  0.1724  0.5000
Zn  0.1227  0.3773  0.0000
Ti  0.6724  0.8276  0.5000
Zn  0.6227  0.1227  0.0000

***

No. 15
TiZnTe3: relaxed, GGA-PBE.

Calculated values
Formation energy from raw total energies (eV/atom): 0.614
Energy above the lowest structure with this stoichiometry (eV per atom): 0.5923
Crystal system: cubic

abc: 5.2205 5.2205 5.2205
angles: 90.00 90.00 90.00
Element x y z (fractional)
Te  0.0000  0.0000  0.5000
Te  0.5000  0.0000  0.0000
Ti  0.5000  0.5000  0.5000
Te  0.0000  0.5000  0.0000
Zn  0.0000  0.0000  0.0000

***

No. 16
Ti3ZnTe: relaxed, GGA-PBE.

Calculated values
Formation energy from raw total energies (eV/atom): 0.438
Energy above the lowest structure with this stoichiometry (eV per atom): 0.0000
Crystal system: cubic

abc: 4.6975 4.6975 4.6975
angles: 90.00 90.00 90.00
Element x y z (fractional)
Te  0.5000  0.5000  0.5000
Ti  0.5000  0.0000  0.0000
Ti  0.0000  0.0000  0.5000
Ti  0.0000  0.5000  0.0000
Zn  0.0000  0.0000  0.0000

***

No. 17
TiZnTe3: relaxed, GGA-PBE.

Calculated values
Formation energy from raw total energies (eV/atom): 0.022
Energy above the lowest structure with this stoichiometry (eV per atom): 0.0000
Crystal system: cubic

abc: 5.3538 5.3538 5.3538
angles: 90.00 90.00 90.00
Element x y z (fractional)
Te  0.0000  0.5000  0.0000
Te  0.0000  0.0000  0.5000
Zn  0.5000  0.5000  0.5000
Ti  0.0000  0.0000  0.0000
Te  0.5000  0.0000  0.0000

***

No. 18
TiZn3Te: relaxed, GGA-PBE.

Calculated values
Formation energy from raw total energies (eV/atom): 0.747
Energy above the lowest structure with this stoichiometry (eV per atom): 0.0000
Crystal system: cubic

abc: 5.0473 5.0473 5.0473
angles: 90.00 90.00 90.00
Element x y z (fractional)
Zn  0.0000  0.0000  0.5000
Zn  0.0000  0.5000  0.0000
Zn  0.5000  0.0000  0.0000
Te  0.5000  0.5000  0.5000
Ti  0.0000  0.0000  0.0000

***

No. 19
TiZnTe2: relaxed, GGA-PBE.

Calculated values
Formation energy from raw total energies (eV/atom): -0.276
Crystal system: tetragonal

abc: 6.3261 6.3261 7.7025
angles: 65.75 65.75 90.00
Element x y z (fractional)
Zn  0.0000  0.0000  0.0000
Te  0.1157  0.6250  0.2500
Ti  0.5000  0.5000  0.0000
Zn  0.7500  0.2500  0.5000
Te  0.6343  0.1250  0.2500
Ti  0.2500  0.7500  0.5000
Te  0.8750  0.8843  0.7500
Te  0.3750  0.3657  0.7500

***

No. 20
Ti5ZnTe2: relaxed, GGA-PBE.

Calculated values
Formation energy from raw total energies (eV/atom): 0.021
Crystal system: orthorhombic

abc: 4.6581 6.8175 11.7298
angles: 90.00 90.00 109.98
Element x y z (fractional)
Ti  0.2940  0.5880  0.7500
Ti  0.7060  0.4120  0.2500
Ti  0.8887  0.7774  0.8678
Ti  0.1113  0.2226  0.1322
Ti  0.1113  0.2226  0.3678
Zn  0.7024  0.4049  0.7500
Ti  0.3051  0.6103  0.4844
Ti  0.8887  0.7774  0.6322
Zn  0.2976  0.5951  0.2500
Ti  0.6949  0.3897  0.5156
Te  0.1070  0.2140  0.8932
Te  0.1070  0.2140  0.6068
Te  0.8930  0.7860  0.3932
Ti  0.3051  0.6103  0.0156
Ti  0.6949  0.3897  0.9844
Te  0.8930  0.7860  0.1068